# 1
Material: RbCaS3
Method: DFT, PBE-GGA
State: optimized geometry

Summary:
- Energy relative to the lowest polymorph listed for this composition: 905 meV/atom
- Uncorrected formation energy: 0.338 eV per atom
- SG: Pm-3m, No. 221

a b c (Å): 5.3680 5.3680 5.3680
angles (deg): 90.00 90.00 90.00
Positions (direct):
Rb (0.0000, 0.0000, 0.0000)
Ca (0.5000, 0.5000, 0.5000)
S (0.0000, 0.0000, 0.5000)
S (0.0000, 0.5000, 0.0000)
S (0.5000, 0.0000, 0.0000)


# 2
Material: InAg2Te
Method: DFT, PBE-GGA
State: optimized geometry

Summary:
- Energy relative to the lowest polymorph listed for this composition: 132 meV/atom
- Uncorrected formation energy: 0.140 eV per atom
- SG: P4/mmm, No. 123

a b c (Å): 3.2493 3.2493 8.6608
angles (deg): 90.00 90.00 90.00
Positions (direct):
In (0.0000, 0.0000, 0.0000)
Ag (0.5000, 0.5000, 0.2322)
Ag (0.5000, 0.5000, 0.7678)
Te (0.0000, 0.0000, 0.5000)


# 3
Material: Cd2AsW
Method: DFT, PBE-GGA
State: optimized geometry

Summary:
- E_form: 0.475 eV/atom
- SG: Cm, No. 8

a b c (Å): 5.0777 5.0777 5.4708
angles (deg): 95.95 95.95 32.69
Positions (direct):
Cd (0.0000, 0.0000, 0.0000)
Cd (0.2481, 0.2481, 0.7753)
As (0.7730, 0.7730, 0.3210)
W (0.5117, 0.5117, 0.4913)


# 4
Material: TiMnI
Method: DFT, PBE-GGA
State: optimized geometry

Summary:
- Uncorrected formation energy: 0.270 eV per atom
- SG: P-6m2, No. 187

a b c (Å): 3.5627 3.5627 11.4270
angles (deg): 90.00 90.00 120.00
Positions (direct):
Ti (0.0000, 0.0000, 0.1231)
Ti (0.0000, 0.0000, 0.8769)
Mn (0.6667, 0.3333, 0.0000)
Mn (0.6667, 0.3333, 0.5000)
I (0.3333, 0.6667, 0.3219)
I (0.3333, 0.6667, 0.6781)


# 5
Material: La2Hg13
Method: DFT, PBE-GGA
State: optimized geometry

Summary:
- E_form: -0.150 eV/atom
- SG: R-3m, No. 166

a b c (Å): 8.5216 8.5216 8.5216
angles (deg): 58.90 58.90 58.90
Positions (direct):
La (0.1498, 0.1498, 0.1498)
La (0.8502, 0.8502, 0.8502)
Hg (0.0000, 0.0000, 0.0000)
Hg (0.1458, 0.1458, 0.5344)
Hg (0.1458, 0.5344, 0.1458)
Hg (0.3107, 0.3107, 0.6696)
Hg (0.3107, 0.6696, 0.3107)
Hg (0.3304, 0.6893, 0.6893)
Hg (0.4656, 0.8542, 0.8542)
Hg (0.5344, 0.1458, 0.1458)
Hg (0.6696, 0.3107, 0.3107)
Hg (0.6893, 0.3304, 0.6893)
Hg (0.6893, 0.6893, 0.3304)
Hg (0.8542, 0.4656, 0.8542)
Hg (0.8542, 0.8542, 0.4656)


# 6
Material: Na2SrSn4
Method: DFT, PBE-GGA
State: optimized geometry

Summary:
- E_form: -0.342 eV/atom
- SG: C2/c, No. 15

a b c (Å): 10.2432 10.2432 6.6102
angles (deg): 95.50 95.50 38.04
Positions (direct):
Na (0.1125, 0.2872, 0.1797)
Na (0.2872, 0.1125, 0.6797)
Na (0.7128, 0.8875, 0.3203)
Na (0.8875, 0.7128, 0.8203)
Sr (0.2813, 0.7187, 0.7500)
Sr (0.7187, 0.2813, 0.2500)
Sn (0.1265, 0.7198, 0.2173)
Sn (0.2802, 0.8735, 0.2827)
Sn (0.3124, 0.3784, 0.4824)
Sn (0.3784, 0.3124, 0.9824)
Sn (0.6216, 0.6876, 0.0176)
Sn (0.6876, 0.6216, 0.5176)
Sn (0.7198, 0.1265, 0.7173)
Sn (0.8735, 0.2802, 0.7827)


# 7
Material: PmPr3Y6Sc2
Method: DFT, PBE-GGA
State: optimized geometry

Summary:
- E_form: 0.043 eV/atom
- SG: C2/m, No. 12

a b c (Å): 6.1809 6.1809 11.7827
angles (deg): 95.01 95.01 119.99
Positions (direct):
Pm (0.0000, 0.0000, 0.0000)
Pr (0.1671, 0.8329, 0.5000)
Pr (0.5000, 0.5000, 0.5000)
Pr (0.8329, 0.1671, 0.5000)
Y (0.0812, 0.4174, 0.2418)
Y (0.2553, 0.2553, 0.7580)
Y (0.4174, 0.0812, 0.2418)
Y (0.5826, 0.9188, 0.7582)
Y (0.7447, 0.7447, 0.2420)
Y (0.9188, 0.5826, 0.7582)
Sc (0.3333, 0.6667, 0.0000)
Sc (0.6667, 0.3333, 0.0000)


# 8
Material: CaInGe2S6
Method: DFT, PBE-GGA
State: optimized geometry

Summary:
- Uncorrected formation energy: -0.599 eV per atom
- SG: C2/c, No. 15

a b c (Å): 8.7870 8.7870 7.3693
angles (deg): 106.34 106.34 85.88
Positions (direct):
Ca (0.1201, 0.8799, 0.7500)
Ca (0.8799, 0.1201, 0.2500)
In (0.2152, 0.7848, 0.2500)
In (0.7848, 0.2152, 0.7500)
Ge (0.2416, 0.3807, 0.7873)
Ge (0.3807, 0.2416, 0.2873)
Ge (0.6193, 0.7584, 0.7127)
Ge (0.7584, 0.6193, 0.2127)
S (0.0490, 0.1832, 0.6522)
S (0.1212, 0.6151, 0.9071)
S (0.1832, 0.0490, 0.1522)
S (0.3049, 0.4336, 0.5200)
S (0.3849, 0.8788, 0.5929)
S (0.4336, 0.3049, 0.0200)
S (0.5664, 0.6951, 0.9800)
S (0.6151, 0.1212, 0.4071)
S (0.6951, 0.5664, 0.4800)
S (0.8168, 0.9510, 0.8478)
S (0.8788, 0.3849, 0.0929)
S (0.9510, 0.8168, 0.3478)


So what do the calculations give for ρ? Going down the list: 2.38, 8.32, 10.60, 6.07, 11.23, 4.75, 5.15, 3.12 Mg/m³.
So what do the calculations give for total magnetic moment? Going down the list: 0.0, 0.0, 0.0, 4.4, 0.0, 0.0, 0.0, 0.0 μB per cell.